VASP calculation (PBE-GGA) on a relaxed PtRh2F crystal. Values from VASP.

Geometry as Quantum ESPRESSO input:
```
&SYSTEM
  ibrav = 0, nat = 8, ntyp = 3
/
ATOMIC_SPECIES
Pt 195.08 Pt.upf
Rh 102.91 Rh.upf
F 19.00 F.upf
ATOMIC_POSITIONS crystal
Pt 0.000 0.000 0.000
Pt 0.750 0.250 0.500
Rh 0.160 0.625 0.035
Rh 0.375 0.410 0.535
Rh 0.590 0.125 0.965
Rh 0.875 0.840 0.465
F 0.250 0.750 0.500
F 0.500 0.500 0.000
CELL_PARAMETERS angstrom
-3.259 3.259 2.743
3.259 -3.259 2.743
3.259 3.259 -2.743
```

Computed properties:
- uncorrected formation energy (eV/atom) = 0.2354
- symmetry = I-42d

***

VASP calculation (PBE-GGA) on a relaxed Ac2Pm3Ag4 crystal. Values from VASP.

Geometry as Quantum ESPRESSO input:
```
&SYSTEM
  ibrav = 0, nat = 18, ntyp = 3
/
ATOMIC_SPECIES
Ac 227.00 Ac.upf
Pm 145.00 Pm.upf
Ag 107.87 Ag.upf
ATOMIC_POSITIONS crystal
Ac 0.193 0.167 0.087
Ac 0.193 0.333 0.587
Ac 0.807 0.667 0.413
Ac 0.807 0.833 0.913
Pm 0.245 0.655 0.250
Pm 0.245 0.845 0.750
Pm 0.500 0.000 0.500
Pm 0.500 0.500 0.000
Pm 0.755 0.155 0.250
Pm 0.755 0.345 0.750
Ag 0.093 0.547 0.883
Ag 0.093 0.953 0.383
Ag 0.489 0.631 0.617
Ag 0.489 0.869 0.117
Ag 0.511 0.131 0.883
Ag 0.511 0.369 0.383
Ag 0.907 0.047 0.617
Ag 0.907 0.453 0.117
CELL_PARAMETERS angstrom
8.139 0.000 0.000
0.000 8.050 0.000
-2.904 0.000 8.307
```

Computed properties:
- ΔE_f (kcal/mol of atoms) = -4.55
- symmetry = P2_1/c

***

VASP calculation (PBE-GGA) on a relaxed KNi2Se crystal. Values from VASP.

Geometry as Quantum ESPRESSO input:
```
&SYSTEM
  ibrav = 0, nat = 4, ntyp = 3
/
ATOMIC_SPECIES
K 39.10 K.upf
Ni 58.69 Ni.upf
Se 78.96 Se.upf
ATOMIC_POSITIONS crystal
K 0.000 0.000 0.000
Ni 0.348 0.848 0.500
Ni 0.652 0.152 0.500
Se 0.500 0.500 0.000
CELL_PARAMETERS angstrom
-1.875 2.910 4.245
1.875 -2.910 4.245
1.875 2.910 -4.245
```

Computed properties:
- uncorrected formation energy (eV/atom) = 0.2940
- symmetry = Immm

***

VASP calculation (PBE-GGA) on a relaxed Tb3Dy2Er6Tm crystal. Values from VASP.

Geometry as Quantum ESPRESSO input:
```
&SYSTEM
  ibrav = 0, nat = 12, ntyp = 4
/
ATOMIC_SPECIES
Tb 158.93 Tb.upf
Dy 162.50 Dy.upf
Er 167.26 Er.upf
Tm 168.93 Tm.upf
ATOMIC_POSITIONS crystal
Tb 0.000 0.000 0.000
Tb 0.333 0.667 0.000
Tb 0.667 0.333 0.000
Dy 0.167 0.833 0.500
Dy 0.833 0.167 0.500
Er 0.083 0.417 0.251
Er 0.250 0.250 0.749
Er 0.417 0.083 0.251
Er 0.583 0.917 0.749
Er 0.750 0.750 0.251
Er 0.917 0.583 0.749
Tm 0.500 0.500 0.500
CELL_PARAMETERS angstrom
3.046 -5.271 0.000
3.046 5.271 0.000
-2.021 0.000 11.466
```

Computed properties:
- ΔE_f (kcal/mol of atoms) = 0.45
- symmetry = C2/m

***

VASP calculation (PBE-GGA) on a relaxed IrOsCl crystal. Values from VASP.

Geometry as Quantum ESPRESSO input:
```
&SYSTEM
  ibrav = 0, nat = 3, ntyp = 3
/
ATOMIC_SPECIES
Ir 192.22 Ir.upf
Os 190.23 Os.upf
Cl 35.45 Cl.upf
ATOMIC_POSITIONS crystal
Ir 0.000 0.000 0.000
Os 0.667 0.333 0.186
Cl 0.333 0.667 0.462
CELL_PARAMETERS angstrom
3.687 0.000 0.000
-1.843 3.193 0.000
0.000 0.000 5.762
```

Computed properties:
- uncorrected formation energy (eV/atom) = 0.8154
- symmetry = P3m1

***

VASP calculation (PBE-GGA) on a relaxed GeRuO2F crystal. Values from VASP.

Geometry as Quantum ESPRESSO input:
```
&SYSTEM
  ibrav = 0, nat = 5, ntyp = 4
/
ATOMIC_SPECIES
Ge 72.64 Ge.upf
Ru 101.07 Ru.upf
O 16.00 O.upf
F 19.00 F.upf
ATOMIC_POSITIONS crystal
Ge 0.000 0.000 0.000
Ru 0.500 0.500 0.500
O 0.000 0.500 0.000
O 0.500 0.000 0.000
F 0.000 0.000 0.500
CELL_PARAMETERS angstrom
3.817 0.000 0.000
0.000 3.817 0.000
0.000 0.000 4.120
```

Computed properties:
- uncorrected formation energy (eV/atom) = -0.4078
- symmetry = P4/mmm

***

Number 1: theoretical density 11.97 Mg/m³. Number 2: theoretical density 8.06 Mg/m³. Number 3: theoretical density 4.22 Mg/m³. Number 4: theoretical density 8.90 Mg/m³. Number 5: theoretical density 10.23 Mg/m³. Number 6: theoretical density 6.22 Mg/m³.